Material: TaP2Au
Method: DFT, SCAN
State: single point on PBEsol structure

a b c (Å): 3.258 4.275 4.275
angles (deg): 90.00 90.00 90.00
Sites, in units of the cell vectors:
Au1 0.500 0.000 0.000
P1 0.000 0.000 0.500
P2 0.000 0.500 0.000
Ta1 0.500 0.500 0.500

Results
* DOS(E_F): 0.5629 states/eV per atom
* symmetry: P4/mmm, No. 123
* uncorrected energy: -156.41 eV/cell
* ΔH_f (0 K): 32 meV per atom